[1]
An optimized crystal structure of VCoN2, computed with PBE.

The calculation puts the uncorrected formation energy at -0.1818 eV per atom. Its density of states at the Fermi level is 10.7 states/eV/cell. The calculation puts the energy relative to the lowest polymorph listed for this composition at 260.9 meV/atom.

a b c (Å): 2.8729 2.8729 17.4105
angles (deg): 90.00 90.00 120.00
Space group R-3m (No. 166, hexagonal axes)
Asymmetric unit:
V (0.0000, 0.0000, 0.0000) x3
Co (0.0000, 0.0000, 0.5000) x3
N (0.0000, 0.0000, 0.3961) x6


[2]
An optimized crystal structure of V2CoN, computed with PBE.

The calculation puts the uncorrected formation energy at -0.1638 eV per atom. Its density of states at the Fermi level is 16.9 states/eV/cell.

a b c (Å): 5.6127 5.6127 5.8532
angles (deg): 90.00 90.00 90.00
Space group I-42d (No. 122)
Asymmetric unit:
V (0.1909, 0.2500, 0.1250) x8
Co (0.0000, 0.0000, 0.5000) x4
N (0.0000, 0.0000, 0.0000) x4


[3]
An optimized crystal structure of VCo2N2, computed with PBE.

The calculation puts the uncorrected formation energy at 0.1690 eV per atom. Its density of states at the Fermi level is 10.8 states/eV/cell. The calculation puts the energy relative to the lowest polymorph listed for this composition at 0.0 meV/atom.

a b c (Å): 5.5970 5.5970 2.9054
angles (deg): 90.00 90.00 90.00
Space group P4/mbm (No. 127)
Asymmetric unit:
V (0.0000, 0.0000, 0.0000) x2
Co (0.1544, 0.3456, 0.5000) x4
N (0.1846, 0.6846, 0.0000) x4


[4]
An optimized crystal structure of VCo2N2, computed with PBE.

The calculation puts the uncorrected formation energy at 0.4765 eV per atom. Its density of states at the Fermi level is 8.8 states/eV/cell. The calculation puts the energy relative to the lowest polymorph listed for this composition at 307.5 meV/atom.

a b c (Å): 3.2930 3.2930 9.1371
angles (deg): 90.00 90.00 90.00
Space group I4/mmm (No. 139)
Asymmetric unit:
V (0.0000, 0.0000, 0.0000) x2
Co (0.0000, 0.5000, 0.2500) x4
N (0.0000, 0.0000, 0.3616) x4


[5]
An optimized crystal structure of V4CoN, computed with PBE.

The calculation puts the uncorrected formation energy at -0.0712 eV per atom. Its density of states at the Fermi level is 9.7 states/eV/cell.

a b c (Å): 7.1155 7.9247 2.7578
angles (deg): 90.00 90.00 90.00
Space group Cmmm (No. 65)
Asymmetric unit:
V (0.0000, 0.2446, 0.0000) x4
V (0.1903, 0.5000, 0.5000) x4
Co (0.0000, 0.0000, 0.5000) x2
N (0.0000, 0.5000, 0.0000) x2


[6]
An optimized crystal structure of V4Co2N, computed with PBE.

The calculation puts the uncorrected formation energy at -0.1997 eV per atom. Its density of states at the Fermi level is 15.0 states/eV/cell. The calculation puts the energy relative to the lowest polymorph listed for this composition at 326.0 meV/atom.

a b c (Å): 3.8225 3.8225 11.7474
angles (deg): 90.00 90.00 90.00
Space group I4/mmm (No. 139)
Asymmetric unit:
V (0.0000, 0.0000, 0.1798) x4
V (0.0000, 0.5000, 0.0000) x4
Co (0.0000, 0.0000, 0.3625) x4
N (0.0000, 0.0000, 0.0000) x2


[7]
An optimized crystal structure of VCoN2, computed with PBE.

The calculation puts the uncorrected formation energy at -0.2690 eV per atom. Its density of states at the Fermi level is 7.2 states/eV/cell. The calculation puts the energy relative to the lowest polymorph listed for this composition at 173.8 meV/atom.

a b c (Å): 2.8392 2.8392 9.5768
angles (deg): 90.00 90.00 120.00
Space group P6_3/mmc (No. 194)
Asymmetric unit:
V (0.3333, 0.6667, 0.2500) x2
Co (0.0000, 0.0000, 0.0000) x2
N (0.3333, 0.6667, 0.6211) x4


[8]
An optimized crystal structure of VCoN2, computed with PBE.

The calculation puts the uncorrected formation energy at 0.2703 eV per atom. Its density of states at the Fermi level is 11.9 states/eV/cell. The calculation puts the energy relative to the lowest polymorph listed for this composition at 713.1 meV/atom.

a b c (Å): 5.0630 5.0630 5.0630
angles (deg): 90.00 90.00 90.00
Space group Fm-3m (No. 225)
Asymmetric unit:
V (0.0000, 0.0000, 0.0000) x4
Co (0.0000, 0.0000, 0.5000) x4
N (0.2500, 0.2500, 0.2500) x8


| no. | ρ (g cm⁻³) |
| --- | --- |
| 1 | 5.520 |
| 2 | 6.297 |
| 3 | 7.182 |
| 4 | 6.597 |
| 5 | 5.909 |
| 6 | 6.494 |
| 7 | 6.850 |
| 8 | 7.057 |